# 1
PBE BaCaAc2Te4, relaxed; volume = 303.1 Å³/cell; formation energy (no corrections) = -1.57 eV/atom; total DFT energy (no corrections) = -0.3420 Ry/atom
1.0
-2.998 3.316 1.515
-6.346 -4.298 -3.149
-2.838 -5.170 5.701
Ac Ba Ca Te
2 1 1 4
Direct
0.000 0.000 0.000
0.500 0.000 0.500
0.500 0.500 0.000
0.000 0.500 0.500
0.500 0.743 0.264
0.000 0.248 0.262
0.000 0.752 0.738
0.500 0.257 0.736

***

# 2
PBE Ba3CaAc2Te6, relaxed; volume = 476.6 Å³/cell; formation energy (no corrections) = -1.66 eV/atom; total DFT energy (no corrections) = -0.3351 Ry/atom
1.0
-4.311 -1.560 -6.946
6.972 -4.250 1.611
-5.131 -3.555 5.648
Te Ba Ac Ca
6 3 2 1
Direct
0.598 0.924 0.770
0.402 0.076 0.230
0.753 0.753 0.233
0.924 0.598 0.770
0.076 0.402 0.230
0.247 0.247 0.767
0.169 0.831 0.500
0.500 0.500 0.500
0.831 0.169 0.500
0.334 0.666 0.000
0.666 0.334 0.000
0.000 0.000 0.000